No. 1
Density functional theory data (PBE) for a relaxed La6Tl2Pd crystal.

**SG**: P-62m (189)

a = 9.158 Å, b = 9.158 Å, c = 3.953 Å
α = 90.00°, β = 90.00°, γ = 120.00°
Fractional positions:
La: 0.000 0.402 0.000
La: 0.000 0.753 0.500
La: 0.247 0.247 0.500
La: 0.402 0.000 0.000
La: 0.598 0.598 0.000
La: 0.753 0.000 0.500
Tl: 0.333 0.667 0.500
Tl: 0.667 0.333 0.500
Pd: 0.000 0.000 0.000

=====

No. 2
Density functional theory data (PBE) for a relaxed Be2InHg crystal.

**SG**: C2/m (12)

a = 4.156 Å, b = 4.156 Å, c = 5.073 Å
α = 90.21°, β = 90.21°, γ = 61.90°
Fractional positions:
Be: 0.163 0.163 0.000
Be: 0.837 0.837 0.000
In: 0.000 0.000 0.500
Hg: 0.500 0.500 0.000

=====

No. 3
Density functional theory data (PBE) for a relaxed Ag5Pd2Au6 crystal.

**SG**: Pbam (55)

a = 9.596 Å, b = 16.923 Å, c = 2.918 Å
α = 90.00°, β = 90.00°, γ = 90.00°
Fractional positions:
Ag: 0.000 0.000 0.000
Ag: 0.065 0.286 0.000
Ag: 0.177 0.581 0.000
Ag: 0.323 0.081 0.000
Ag: 0.435 0.786 0.000
Ag: 0.500 0.500 0.000
Ag: 0.565 0.214 0.000
Ag: 0.677 0.919 0.000
Ag: 0.823 0.419 0.000
Ag: 0.935 0.714 0.000
Pd: 0.185 0.730 0.500
Pd: 0.315 0.230 0.500
Pd: 0.685 0.770 0.500
Pd: 0.815 0.270 0.500
Au: 0.077 0.139 0.500
Au: 0.091 0.436 0.500
Au: 0.180 0.872 0.000
Au: 0.320 0.372 0.000
Au: 0.409 0.936 0.500
Au: 0.423 0.639 0.500
Au: 0.577 0.361 0.500
Au: 0.591 0.064 0.500
Au: 0.680 0.628 0.000
Au: 0.820 0.128 0.000
Au: 0.909 0.564 0.500
Au: 0.923 0.861 0.500

=====

Number 1: density 7.8 Mg/m³, ΔE_f -38 kJ/mol of atoms. Number 2: density 7.2 Mg/m³, ΔE_f 37 kJ/mol of atoms. Number 3: density 13.6 Mg/m³, ΔE_f 0 kJ/mol of atoms.